# 1
CaTc | PBE | optimized geometry

Values from the calculation:
final energy: -5.29 eV/atom
distance to the lowest polymorph of the same formula: 65.50 kJ per mole of atoms
space-group type: P-6m2 (187)
energy relative to the elements: 892 meV/atom
crystal system: hexagonal

Unit cell a=3.0324 b=3.0324 c=5.0009 alpha=90.00 beta=90.00 gamma=120.00
Fractional positions:
Ca1 0.0000 0.0000 0.0000
Tc1 0.6667 0.3333 0.5000



# 2
TcAg2N2 | PBE | optimized geometry

Values from the calculation:
final energy: -4.87 eV/atom
uncorrected formation energy: 1.670 eV per atom
distance to the lowest polymorph of the same formula: 0.00 kJ per mole of atoms
space-group type: I4/mmm (139)
crystal system: tetragonal

Unit cell a=9.2398 b=9.2398 c=9.2398 alpha=163.32 beta=163.32 gamma=23.68
Fractional positions:
Tc1 0.0000 0.0000 0.0000
Ag1 0.3762 0.3762 0.0000
Ag2 0.6238 0.6238 0.0000
N1 0.2500 0.7500 0.5000
N2 0.7500 0.2500 0.5000



# 3
MoS2NCl | PBE | optimized geometry

Values from the calculation:
final energy: -4.53 eV/atom
uncorrected formation energy: 1.319 eV per atom
distance to the lowest polymorph of the same formula: 89.63 kJ per mole of atoms
space-group type: P4/mmm (123)
crystal system: tetragonal

Unit cell a=4.1653 b=4.1653 c=4.0063 alpha=90.00 beta=90.00 gamma=90.00
Fractional positions:
Mo1 0.0000 0.0000 0.0000
S1 0.0000 0.5000 0.5000
S2 0.5000 0.0000 0.5000
N1 0.5000 0.5000 0.5000
Cl1 0.5000 0.5000 0.0000